# 1
Mg3MnAs: relaxed, PBE.

abc: 5.0310 5.0310 5.0310
angles: 90.00 90.00 90.00
Element x y z (fractional)
Mg  0.0000  0.5000  0.0000
Mn  0.5000  0.5000  0.5000
As  0.0000  0.0000  0.0000
Mg  0.0000  0.0000  0.5000
Mg  0.5000  0.0000  0.0000

* excess energy over the best structure of this formula in the dataset: 0 meV/atom
* space group: Pm-3m, No. 221
* M_tot: 4.3 μB per formula unit

***

# 2
MgMnAs2: relaxed, PBE.

abc: 4.5422 4.5422 3.4887
angles: 90.42 90.42 100.17
Element x y z (fractional)
Mg  0.5000  0.0000  0.5000
As  0.5000  0.5000  0.0000
Mn  0.0000  0.5000  0.5000
As  0.0000  0.0000  0.0000

* space group: C2/m, No. 12
* M_tot: 3.7 μB per formula unit
* calculated total energy: -5.066 eV per atom

***

# 3
MgMn3As: relaxed, PBE.

abc: 4.6167 4.6167 4.6167
angles: 90.00 90.00 90.00
Element x y z (fractional)
As  0.0000  0.0000  0.0000
Mn  0.5000  0.0000  0.0000
Mg  0.5000  0.5000  0.5000
Mn  0.0000  0.5000  0.0000
Mn  0.0000  0.0000  0.5000

* excess energy over the best structure of this formula in the dataset: 0 meV/atom
* space group: Pm-3m, No. 221
* M_tot: 10.2 μB per formula unit

***

# 4
MgMnAs2: relaxed, PBE.

abc: 4.8767 4.8767 4.8767
angles: 133.49 115.95 82.77
Element x y z (fractional)
Mn  0.2500  0.7500  0.5000
As  0.0199  0.0199  0.0000
Mg  0.7500  0.2500  0.5000
As  0.4801  0.4801  0.0000

* space group: Immm, No. 71
* M_tot: 3.4 μB per formula unit
* calculated total energy: -5.058 eV per atom